Entry 1:
Compound: CaCd2Bi
Source: the Alexandria database
Functional: PBE
Structure: optimized geometry

a = 4.164 Å, b = 4.164 Å, c = 6.493 Å
α = 90.00°, β = 90.00°, γ = 90.00°
Element x y z (fractional)
Ca: 0.500 0.500 0.500
Bi: 0.500 0.500 0.000
Cd: 0.000 0.000 0.763
Cd: 0.000 0.000 0.237

---

Entry 2:
Compound: CaCdBi3
Source: the Alexandria database
Functional: PBE
Structure: optimized geometry

Summary:
The value obtained for the excess energy over the best structure of this formula in the dataset is 72.3 kJ/mol of atoms.

a = 5.849 Å, b = 5.849 Å, c = 5.849 Å
α = 90.00°, β = 90.00°, γ = 90.00°
Element x y z (fractional)
Ca: 0.000 0.000 0.000
Bi: 0.000 0.500 0.000
Bi: 0.000 0.000 0.500
Bi: 0.500 0.000 0.000
Cd: 0.500 0.500 0.500

---

Entry 3:
Compound: Ca2Cd2Bi
Source: the Alexandria database
Functional: PBE
Structure: optimized geometry

Summary:
The value obtained for the excess energy over the best structure of this formula in the dataset is 0.0 kJ/mol of atoms.

a = 4.066 Å, b = 4.066 Å, c = 9.843 Å
α = 78.08°, β = 78.08°, γ = 90.00°
Element x y z (fractional)
Ca: 0.402 0.402 0.195
Ca: 0.598 0.598 0.805
Bi: 0.000 0.000 0.000
Cd: 0.750 0.250 0.500
Cd: 0.250 0.750 0.500

---

Entry 4:
Compound: CaCdBi2
Source: the Alexandria database
Functional: PBE
Structure: optimized geometry

a = 4.676 Å, b = 4.676 Å, c = 10.714 Å
α = 90.00°, β = 90.00°, γ = 90.00°
Element x y z (fractional)
Ca: 0.000 0.500 0.261
Ca: 0.500 0.000 0.739
Cd: 0.500 0.500 0.000
Cd: 0.000 0.000 0.000
Bi: 0.500 0.000 0.196
Bi: 0.000 0.500 0.804
Bi: 0.000 0.000 0.500
Bi: 0.500 0.500 0.500

---

Calculated density readings, ordered: 7.0; 6.5; 5.5; 8.1 g cm⁻³
Energy relative to the elements readings, ordered: -87; 232; -174; -162 kJ/mol of formula units